SbMo3O | GGA+U | optimized geometry

It has space group Pm-3m (No. 221), with a = 5.547 Å, b = 5.547 Å, c = 5.547 Å, α = 90.00°, β = 90.00° and γ = 90.00°. The inequivalent atoms are Sb at (0.000, 0.000, 0.000), Mo at (0.000, 0.000, 0.500) and O at (0.500, 0.500, 0.500).

As for the energy relative to the lowest polymorph listed for this composition: 1.238 eV/atom. Its crystal system is cubic. For the magnetization, the calculation gives 13.00 μB per cell. The value obtained for the density of states at the Fermi level is 4.44 states/eV per cell.